First-principles (PBE-GGA) data for an optimized crystal structure of LiZrSi, as listed in Alexandria via LeMat-Bulk.

Calculated values
- formation energy from raw total energies (eV per atom) = -0.2464
- total moment (μB per formula unit) = 0.000
- crystal system = cubic
- ρ (g cm⁻³) = 3.56
- DOS(E_F) (states/eV/f.u.) = 1.8

Cell lengths 6.1761, 6.1761, 6.1761 Å; angles 90.00, 90.00, 90.00 degrees
With the nearest neighbours (Å) after each atom.
Space group F-43m (No. 216)
Asymmetric unit:
Li  0.0000  0.0000  0.0000 (multiplicity 4)  4 Si 2.67
Zr  0.0000  0.0000  0.5000 (multiplicity 4)  4 Si 2.67
Si  0.2500  0.2500  0.2500 (multiplicity 4)  4 Zr 2.67, 4 Li 2.67